Er5Ge10Ir4 | PBE | optimized geometry

Lattice parameters (Å, degrees): 12.997 12.997 4.317 90.00 90.00 90.00
Positions (direct):
Er 0.000 0.000 0.000
Er 0.115 0.385 0.500
Er 0.173 0.673 0.500
Er 0.327 0.173 0.500
Er 0.385 0.885 0.500
Er 0.500 0.500 0.000
Er 0.615 0.115 0.500
Er 0.673 0.827 0.500
Er 0.827 0.327 0.500
Er 0.885 0.615 0.500
Ge 0.005 0.844 0.500
Ge 0.067 0.567 0.000
Ge 0.156 0.005 0.500
Ge 0.164 0.200 0.000
Ge 0.200 0.836 0.000
Ge 0.300 0.336 0.000
Ge 0.336 0.700 0.000
Ge 0.344 0.505 0.500
Ge 0.433 0.067 0.000
Ge 0.495 0.344 0.500
Ge 0.505 0.656 0.500
Ge 0.567 0.933 0.000
Ge 0.656 0.495 0.500
Ge 0.664 0.300 0.000
Ge 0.700 0.664 0.000
Ge 0.800 0.164 0.000
Ge 0.836 0.800 0.000
Ge 0.844 0.995 0.500
Ge 0.933 0.433 0.000
Ge 0.995 0.156 0.500
Ir 0.020 0.754 0.000
Ir 0.246 0.020 0.000
Ir 0.254 0.520 0.000
Ir 0.480 0.254 0.000
Ir 0.520 0.746 0.000
Ir 0.746 0.480 0.000
Ir 0.754 0.980 0.000
Ir 0.980 0.246 0.000

Properties
Formation energy from the elements   -0.764 eV per atom
DOS at the Fermi energy   17.968 states/eV/cell
Theoretical density   10.62 g/cm3
Total energy   -237.91 eV for the cell shown

---

Er2Ge3Ir5 | PBE | optimized geometry

Lattice parameters (Å, degrees): 12.296 12.296 6.744 90.00 90.00 160.59
Positions (direct):
Er 0.022 0.978 0.500
Er 0.326 0.674 0.485
Er 0.674 0.326 0.985
Er 0.978 0.022 0.000
Ge 0.111 0.889 0.766
Ge 0.266 0.734 0.973
Ge 0.456 0.544 0.707
Ge 0.544 0.456 0.207
Ge 0.734 0.266 0.473
Ge 0.889 0.111 0.266
Ir 0.100 0.900 0.154
Ir 0.206 0.794 0.268
Ir 0.208 0.792 0.671
Ir 0.369 0.631 0.950
Ir 0.444 0.556 0.336
Ir 0.556 0.444 0.836
Ir 0.631 0.369 0.450
Ir 0.792 0.208 0.171
Ir 0.794 0.206 0.768
Ir 0.900 0.100 0.654

Properties
Formation energy from the elements   -0.616 eV per atom
DOS at the Fermi energy   6.249 states/eV/cell
Theoretical density   14.84 g/cm3
Total energy   -146.89 eV for the cell shown

---

Er4Ge2Ir | PBE | optimized geometry

Lattice parameters (Å, degrees): 7.100 7.100 7.223 119.64 119.64 35.48
Positions (direct):
Er 0.112 0.112 0.296
Er 0.370 0.370 0.220
Er 0.630 0.630 0.780
Er 0.888 0.888 0.704
Ge 0.267 0.267 0.766
Ge 0.733 0.733 0.234
Ir 0.500 0.500 0.000

Properties
Formation energy from the elements   -0.645 eV per atom
DOS at the Fermi energy   5.118 states/eV/cell
Theoretical density   9.26 g/cm3
Total energy   -40.86 eV for the cell shown

---

ErGe2Ir4 | PBE | optimized geometry

Lattice parameters (Å, degrees): 18.179 4.229 5.945 90.00 90.00 90.00
Positions (direct):
Er 0.126 0.250 0.030
Er 0.374 0.750 0.530
Er 0.626 0.250 0.470
Er 0.874 0.750 0.970
Ge 0.040 0.750 0.282
Ge 0.219 0.250 0.549
Ge 0.281 0.750 0.049
Ge 0.460 0.250 0.782
Ge 0.540 0.750 0.218
Ge 0.719 0.250 0.951
Ge 0.781 0.750 0.451
Ge 0.960 0.250 0.718
Ir 0.031 0.750 0.830
Ir 0.086 0.250 0.528
Ir 0.182 0.750 0.319
Ir 0.186 0.750 0.772
Ir 0.314 0.250 0.272
Ir 0.318 0.250 0.819
Ir 0.414 0.750 0.028
Ir 0.469 0.250 0.330
Ir 0.531 0.750 0.670
Ir 0.586 0.250 0.972
Ir 0.682 0.750 0.181
Ir 0.686 0.750 0.728
Ir 0.814 0.250 0.228
Ir 0.818 0.250 0.681
Ir 0.914 0.750 0.472
Ir 0.969 0.250 0.170

Properties
Formation energy from the elements   -0.439 eV per atom
DOS at the Fermi energy   10.498 states/eV/cell
Theoretical density   15.72 g/cm3
Total energy   -209.27 eV for the cell shown

---

ErGe3Ir5 | PBE | optimized geometry

Lattice parameters (Å, degrees): 6.773 6.773 12.597 90.00 90.00 146.36
Positions (direct):
Er 0.106 0.894 0.750
Er 0.894 0.106 0.250
Ge 0.139 0.861 0.250
Ge 0.382 0.618 0.045
Ge 0.382 0.618 0.455
Ge 0.618 0.382 0.545
Ge 0.618 0.382 0.955
Ge 0.861 0.139 0.750
Ir 0.000 0.000 0.000
Ir 0.000 0.000 0.500
Ir 0.201 0.799 0.069
Ir 0.201 0.799 0.431
Ir 0.450 0.550 0.647
Ir 0.450 0.550 0.853
Ir 0.550 0.450 0.147
Ir 0.550 0.450 0.353
Ir 0.799 0.201 0.569
Ir 0.799 0.201 0.931

Properties
Formation energy from the elements   -0.298 eV per atom
DOS at the Fermi energy   12.069 states/eV/cell
Theoretical density   13.97 g/cm3
Total energy   -130.81 eV for the cell shown

---

ErGe2Ir | PBE | optimized geometry

Lattice parameters (Å, degrees): 9.494 9.494 9.494 154.33 124.11 62.47
Positions (direct):
Er 0.204 0.204 0.000
Er 0.234 0.000 0.234
Er 0.766 0.000 0.766
Er 0.796 0.796 0.000
Ge 0.076 0.576 0.500
Ge 0.145 0.797 0.348
Ge 0.422 0.422 0.000
Ge 0.449 0.797 0.652
Ge 0.551 0.203 0.348
Ge 0.578 0.578 0.000
Ge 0.855 0.203 0.652
Ge 0.924 0.424 0.500
Ir 0.106 0.355 0.751
Ir 0.395 0.645 0.751
Ir 0.605 0.355 0.249
Ir 0.894 0.645 0.249

Properties
Formation energy from the elements   -0.784 eV per atom
DOS at the Fermi energy   6.930 states/eV/cell
Theoretical density   11.01 g/cm3
Total energy   -103.18 eV for the cell shown

---

Q: What is the DOS at the Fermi energy in the sixth record?
A: 6.930 states/eV/cell